Entry from the Alexandria database: a geometry-optimized AlW2Cl structure (GGA-PBE).

Calculated values
- VASP energy: -7.339 eV per atom
- DOS at the Fermi energy: 1.536 states/eV per cell
- Total magnetization: 0.000 μB/atom
- Polymorph energy (0 for the lowest one): 300 meV per atom
- Formation energy from raw total energies: 51.59 kJ per mole of atoms

```
data_AlW2Cl
_cell_length_a 3.215
_cell_length_b 4.360
_cell_length_c 12.001
_cell_angle_alpha 90.00
_cell_angle_beta 90.00
_cell_angle_gamma 90.00
_symmetry_space_group_name_H-M 'I m m 2'
_symmetry_Int_Tables_number 44
loop_
_symmetry_equiv_pos_as_xyz
'x,y,z'
'-x,-y,z'
'-x,y,z'
'x,-y,z'
'x+1/2,y+1/2,z+1/2'
'-x+1/2,-y+1/2,z+1/2'
'-x+1/2,y+1/2,z+1/2'
'x+1/2,-y+1/2,z+1/2'
loop_
_atom_site_label
_atom_site_type_symbol
_atom_site_fract_x
_atom_site_fract_y
_atom_site_fract_z
_atom_site_occupancy
Al1 Al 0.000 0.000 0.000 1
W1 W 0.000 0.000 0.463 1
W2 W 0.000 0.500 0.115 1
Cl1 Cl 0.000 0.500 0.764 1
```